[1]
Below is an optimized crystal structure of Pr3Ga10Ni, with properties calculated at the PBE-GGA level.

For the calculated total energy, the calculation gives -58.3 eV for the cell shown. The density of states at the Fermi level comes out at 0.35 states/eV per atom. The energy of formation from the pure elements comes out at -565 meV per atom.

The structure in CIF format:
```
data_Pr3Ga10Ni
_space_group_name_H-M_alt 'P m m m'
_space_group_IT_number 47
_cell_length_a 4.289
_cell_length_b 4.302
_cell_length_c 15.396
_cell_angle_alpha 90.00
_cell_angle_beta 90.00
_cell_angle_gamma 90.00
loop_
_space_group_symop_operation_xyz
'x,y,z'
'-x,-y,-z'
'-x,-y,z'
'x,y,-z'
'x,-y,-z'
'-x,y,z'
'-x,y,-z'
'x,-y,z'
loop_
_atom_site_label
_atom_site_type_symbol
_atom_site_fract_x
_atom_site_fract_y
_atom_site_fract_z
Pr1 Pr 0.000 0.000 0.000
Pr2 Pr 0.000 0.500 0.251
Ga1 Ga 0.000 0.000 0.416
Ga2 Ga 0.500 0.000 0.158
Ga3 Ga 0.500 0.000 0.316
Ga4 Ga 0.500 0.500 0.081
Ga5 Ga 0.500 0.500 0.416
Ni1 Ni 0.000 0.500 0.500
```

---

[2]
Below is an optimized crystal structure of Pr2GaNi, with properties calculated at the PBE-GGA level.

For the calculated total energy, the calculation gives -77.9 eV for the cell shown. The density of states at the Fermi level comes out at 0.66 states/eV per atom. The energy of formation from the pure elements comes out at -280 meV per atom.

The structure in CIF format:
```
data_Pr2GaNi
_space_group_name_H-M_alt 'C 1 2/c 1'
_space_group_IT_number 15
_cell_length_a 10.803
_cell_length_b 4.579
_cell_length_c 8.987
_cell_angle_alpha 90.00
_cell_angle_beta 114.57
_cell_angle_gamma 90.00
loop_
_space_group_symop_operation_xyz
'x,y,z'
'-x,-y,-z'
'-x,y,-z+1/2'
'x,-y,z+1/2'
'x+1/2,y+1/2,z'
'-x+1/2,-y+1/2,-z'
'-x+1/2,y+1/2,-z+1/2'
'x+1/2,-y+1/2,z+1/2'
loop_
_atom_site_label
_atom_site_type_symbol
_atom_site_fract_x
_atom_site_fract_y
_atom_site_fract_z
Pr1 Pr 0.171 0.000 0.085
Ga1 Ga 0.000 0.499 0.250
Ni1 Ni 0.000 0.001 0.750
```

---

[3]
Below is an optimized crystal structure of PrGa2Ni10, with properties calculated at the PBE-GGA level.

For the calculated total energy, the calculation gives -284.5 eV for the cell shown. The density of states at the Fermi level comes out at 1.52 states/eV per atom. The energy of formation from the pure elements comes out at -191 meV per atom.

The structure in CIF format:
```
data_PrGa2Ni10
_space_group_name_H-M_alt 'F m m m'
_space_group_IT_number 69
_space_group_name_Hall '-F 2 2'
_cell_length_a 4.878
_cell_length_b 11.655
_cell_length_c 11.834
_cell_angle_alpha 90.00
_cell_angle_beta 90.00
_cell_angle_gamma 90.00
loop_
_atom_site_label
_atom_site_type_symbol
_atom_site_fract_x
_atom_site_fract_y
_atom_site_fract_z
Pr1 Pr 0.000 0.000 0.000
Ga1 Ga 0.250 0.000 0.250
Ni1 Ni 0.000 0.115 0.386
Ni2 Ni 0.000 0.179 0.176
Ni3 Ni 0.250 0.250 0.000
```